Here is a relaxed Sm2Dy2CBr3Cl2 crystal from the Open Quantum Materials Database. Energies are from PBE.

```
data_Sm2Dy2CBr3Cl2
_cell_length_a 17.401
_cell_length_b 3.807
_cell_length_c 8.128
_cell_angle_alpha 90.00
_cell_angle_beta 103.83
_cell_angle_gamma 90.00
_space_group_name_H-M_alt 'C 1 2/m 1'
_space_group_IT_number 12
loop_
_space_group_symop_operation_xyz
'x,y,z'
'-x,-y,-z'
'-x,y,-z'
'x,-y,z'
'x+1/2,y+1/2,z'
'-x+1/2,-y+1/2,-z'
'-x+1/2,y+1/2,-z'
'x+1/2,-y+1/2,z'
loop_
_atom_site_label
_atom_site_type_symbol
_atom_site_fract_x
_atom_site_fract_y
_atom_site_fract_z
Sm1 Sm 0.146 0.000 0.079
Dy1 Dy 0.002 0.500 0.799
C1 C 0.000 0.000 0.000
Br1 Br 0.000 0.000 0.500
Br2 Br 0.165 0.500 0.355
Cl1 Cl 0.168 0.500 0.836
```

Summary:
As for the magnetization: 0.31 μB/f.u. The volume comes out at 523 Å³/cell. For the excess energy over the best structure of this formula in the dataset, the calculation gives 6 meV per atom.